TiVO3: optimized geometry, PBEsol.

Unit cell a=4.9315 b=4.9315 c=5.4808 alpha=63.26 beta=63.26 gamma=60.00
Last column: nearest neighbours and their distance in Å.
Fractional coordinates of all 10 atoms:
Ti1 0.1553 0.1553 0.5342  6 O 1.97-2.06
Ti2 0.6553 0.6553 0.0342  6 O 1.97-2.06
V1 0.3423 0.3423 0.9731  6 O 1.97-2.03
V2 0.8423 0.8423 0.4731  6 O 1.97-2.03
O1 0.2460 0.9352 0.2476  2 Ti 1.97-2.06, 2 V 1.97-2.03
O2 0.5711 0.2460 0.2476  2 Ti 1.97-2.06, 2 V 1.97-2.03
O3 0.9352 0.5711 0.2476  2 Ti 1.97-2.06, 2 V 1.97-2.03
O4 0.4352 0.7460 0.7476  2 Ti 1.97-2.06, 2 V 1.97-2.03
O5 0.0711 0.4352 0.7476  2 Ti 1.97-2.06, 2 V 1.97-2.03
O6 0.7460 0.0711 0.7476  2 Ti 1.97-2.06, 2 V 1.97-2.03

Results
spin magnetization = 2.697 μB/cell
formation energy from raw total energies = -255 kJ/mol of atoms
density of states at the Fermi level = 5.4 states/eV per cell